Crystalline VCrGa2 at its relaxed geometry. Source: the Alexandria database, functional PBE.

Geometry as POSCAR:
```
VCrGa2
1.0
0.0000 3.0830 3.0830
3.0830 0.0000 3.0830
3.0830 3.0830 0.0000
V Cr Ga
1 1 2
Direct
0.0000 0.0000 0.0000
0.5000 0.5000 0.5000
0.2500 0.2500 0.2500
0.7500 0.7500 0.7500
```

## Properties
For the energy of formation from the pure elements, the calculation gives 75 meV per atom. Its space group is Fm-3m (225).